No. 1
Here is a relaxed Ba2Sn4SbAu3 crystal from Alexandria. Energies are from PBE.

Summary:
Its formation energy (no corrections) is -0.52 eV/atom. For the volume, the calculation gives 284.8 Å³ per cell. The spin magnetization is 0.00 μB per formula unit.

Unit cell a=5.036 b=5.036 c=11.230 alpha=90.00 beta=90.00 gamma=90.00
Positions (direct):
Ba (0.000, 0.500, 0.250)
Ba (0.500, 0.000, 0.750)
Sn (0.000, 0.000, 0.000)
Sn (0.000, 0.500, 0.637)
Sn (0.500, 0.000, 0.363)
Sn (0.500, 0.500, 0.000)
Sb (0.000, 0.000, 0.500)
Au (0.000, 0.500, 0.881)
Au (0.500, 0.000, 0.119)
Au (0.500, 0.500, 0.500)

---

No. 2
Here is a relaxed KInFe2 crystal from Alexandria. Energies are from PBE.

Summary:
The formation energy is 1.012 eV per atom. For the volume, the calculation gives 81.0 Å³ per cell. The spin magnetization is 5.36 μB per formula unit.

Unit cell a=5.788 b=5.788 c=2.802 alpha=100.11 beta=100.11 gamma=114.24
Positions (direct):
K (0.000, 0.000, 0.000)
In (0.500, 0.500, 0.000)
Fe (0.000, 0.500, 0.500)
Fe (0.500, 0.000, 0.500)

---

No. 3
Here is a relaxed Ho5TlCo2 crystal from Alexandria. Energies are from PBE.

Summary:
The formation energy is -0.247 eV per atom. For the volume, the calculation gives 387.4 Å³ per cell. The spin magnetization is 0.00 μB per formula unit.

Unit cell a=8.629 b=8.629 c=8.629 alpha=128.01 beta=128.01 gamma=76.61
Positions (direct):
Ho (0.000, 0.000, 0.000)
Ho (0.032, 0.532, 0.823)
Ho (0.209, 0.032, 0.500)
Ho (0.291, 0.791, 0.823)
Ho (0.468, 0.291, 0.500)
Ho (0.500, 0.500, 0.000)
Ho (0.532, 0.709, 0.500)
Ho (0.709, 0.209, 0.177)
Ho (0.791, 0.968, 0.500)
Ho (0.968, 0.468, 0.177)
Tl (0.250, 0.250, 0.000)
Tl (0.750, 0.750, 0.000)
Co (0.134, 0.366, 0.500)
Co (0.366, 0.866, 0.232)
Co (0.634, 0.134, 0.768)
Co (0.866, 0.634, 0.500)